(1)
Compound: Te3Ir
Source: the Alexandria database
Functional: PBE
Structure: optimized geometry

Summary:
ΔE_f (raw) (meV/atom): 151
Total magnetization (μB/atom): 0.000

a = 4.4058 Å, b = 3.1594 Å, c = 8.1524 Å
α = 90.00°, β = 105.49°, γ = 90.00°
With the nearest neighbours (Å) after each atom.
Space group Pm (No. 6)
Symmetry-distinct sites (fractional):
Te: 0.0000 0.0000 0.0000  4 Ir 2.77-2.79
Te: 0.2974 0.5000 0.5924  1 Ir 2.60
Te: 0.6433 0.5000 0.2794  1 Ir 2.80
Ir: 0.4590 0.5000 0.9227  6 Te 2.60-2.80

***

(2)
Compound: RhSe
Source: the Alexandria database
Functional: PBE
Structure: optimized geometry

Summary:
ΔE_f (raw) (meV/atom): -230
Total magnetization (μB/atom): 0.000

a = 9.2895 Å, b = 9.2895 Å, c = 3.9768 Å
α = 90.00°, β = 90.00°, γ = 120.00°
With the nearest neighbours (Å) after each atom.
Space group P6_3/m (No. 176)
Symmetry-distinct sites (fractional):
Rh: 0.0404 0.6156 0.2500  4 Se 2.39-2.46
Se: 0.1138 0.3953 0.2500  4 Rh 2.39-2.46

***

(3)
Compound: Li2In2Sn3
Source: the Alexandria database
Functional: PBE
Structure: optimized geometry

Summary:
Total magnetization (μB/atom): 0.000
DFT formation energy (kJ/mol of formula units): -79

a = 4.6386 Å, b = 22.6336 Å, c = 3.2698 Å
α = 90.00°, β = 90.00°, γ = 90.00°
With the nearest neighbours (Å) after each atom.
Space group Cmmm (No. 65)
Symmetry-distinct sites (fractional):
Li: 0.0000 0.1511 0.0000  6 In 3.15-3.52, 2 Li 3.27, 5 Sn 3.29-3.42
In: 0.0000 0.2888 0.5000  2 In 2.91, 1 Sn 3.03, 4 Li 3.15
Sn: 0.0000 0.0000 0.0000  10 Sn 3.27-3.34, 2 Li 3.42
Sn: 0.0000 0.4226 0.5000  1 In 3.03, 6 Sn 3.27-3.34, 4 Li 3.29

***

(4)
Compound: La3Sm4
Source: the Alexandria database
Functional: PBE
Structure: optimized geometry

Summary:
Excess energy over the best structure of this formula in the dataset (meV per atom): 0
Total magnetization (μB/atom): 0.000
DFT formation energy (kJ/mol of formula units): 56

a = 15.3980 Å, b = 15.3980 Å, c = 7.2337 Å
α = 90.00°, β = 90.00°, γ = 120.00°
With the nearest neighbours (Å) after each atom.
Space group R-3 (No. 148, hexagonal axes)
Symmetry-distinct sites (fractional):
La: 0.0527 0.2272 0.2261  8 Sm 3.41-3.74, 1 La 3.73
Sm: 0.0000 0.0000 0.0000  6 La 3.57, 2 Sm 3.62
Sm: 0.0000 0.0000 0.5000  8 Sm 3.62-3.88, 6 La 3.74
Sm: 0.0561 0.2566 0.7014  6 La 3.41-3.70, 1 Sm 3.57

***

(5)
Compound: PmSm2Sc
Source: the Alexandria database
Functional: PBE
Structure: optimized geometry

Summary:
Excess energy over the best structure of this formula in the dataset (meV per atom): 12
Total magnetization (μB/atom): 0.002
DFT formation energy (kJ/mol of formula units): 19

a = 3.6163 Å, b = 11.3858 Å, c = 6.1654 Å
α = 90.00°, β = 90.00°, γ = 90.00°
With the nearest neighbours (Å) after each atom.
Space group Imm2 (No. 44)
Symmetry-distinct sites (fractional):
Pm: 0.0000 0.0000 0.0000  6 Sm 3.49-3.57, 4 Sc 3.54-3.61, 2 Pm 3.62
Sm: 0.0000 0.2425 0.3455  3 Sc 3.45-3.60, 3 Pm 3.49-3.57, 6 Sm 3.58-3.62
Sc: 0.0000 0.5000 0.0067  6 Sm 3.45-3.60, 4 Pm 3.54-3.61, 2 Sc 3.62

***

(6)
Compound: YSi2Ir2
Source: the Alexandria database
Functional: PBE
Structure: optimized geometry

Summary:
ΔE_f (raw) (meV/atom): -890
Total magnetization (μB/atom): 0.000

a = 4.1694 Å, b = 4.1694 Å, c = 10.0126 Å
α = 90.00°, β = 90.00°, γ = 90.00°
With the nearest neighbours (Å) after each atom.
Space group I4/mmm (No. 139)
Symmetry-distinct sites (fractional):
Y: 0.0000 0.0000 0.0000  8 Ir 3.23, 8 Si 3.26
Si: 0.0000 0.5000 0.2500  4 Ir 2.40
Ir: 0.0000 0.0000 0.3692  4 Si 2.40, 1 Ir 2.62

***

(7)
Compound: VPb2I
Source: the Alexandria database
Functional: PBE
Structure: optimized geometry

Summary:
ΔE_f (raw) (meV/atom): 693
Excess energy over the best structure of this formula in the dataset (meV per atom): 0
Total magnetization (μB/atom): 0.802

a = 5.9780 Å, b = 5.9780 Å, c = 17.4461 Å
α = 90.00°, β = 90.00°, γ = 90.00°
With the nearest neighbours (Å) after each atom.
Space group I-42d (No. 122)
Symmetry-distinct sites (fractional):
V: 0.0000 0.0000 0.0000  4 Pb 2.77
Pb: 0.1397 0.2500 0.1250  2 V 2.77
I: 0.0000 0.0000 0.5000  4 Pb 3.41

***

(8)
Compound: Zn2SiNiPd
Source: the Alexandria database
Functional: PBE
Structure: optimized geometry

Summary:
ΔE_f (raw) (meV/atom): 154
Total magnetization (μB/atom): 0.000

a = 4.5025 Å, b = 4.5025 Å, c = 4.1957 Å
α = 90.00°, β = 90.00°, γ = 90.00°
With the nearest neighbours (Å) after each atom.
Space group P4/mmm (No. 123)
Symmetry-distinct sites (fractional):
Zn: 0.0000 0.5000 0.0000  2 Ni 2.25
Si: 0.0000 0.0000 0.5000  2 Ni 2.10
Ni: 0.0000 0.0000 0.0000  2 Si 2.10, 4 Zn 2.25
Pd: 0.5000 0.5000 0.5000  8 Zn 3.08, 4 Si 3.18